Compound: MnRh3W
Source: Alexandria via LeMat-Bulk
Functional: GGA-PBE
Structure: optimized geometry

a b c (Å): 4.692 4.692 4.692
angles (deg): 90.00 90.00 90.00
Each line ends with the local moment (μB).
Positions (direct):
Rh  0.000  0.000  0.500  -0.04
Rh  0.500  0.000  0.000  -0.13
Rh  0.000  0.500  0.000  -0.05
Mn  0.500  0.500  0.500  -4.36
W  0.000  0.000  0.000  0.05

Summary:
- Offset from the most stable computed form: 1203.6 meV per atom



Compound: Mn3RhW
Source: Alexandria via LeMat-Bulk
Functional: GGA-PBE
Structure: optimized geometry

a b c (Å): 4.544 4.544 4.544
angles (deg): 90.00 90.00 90.00
Each line ends with the local moment (μB).
Positions (direct):
Mn  0.500  0.000  0.000  3.25
Mn  0.000  0.000  0.500  2.70
Mn  0.000  0.500  0.000  2.92
Rh  0.500  0.500  0.500  0.49
W  0.000  0.000  0.000  -0.93

Summary:
- Offset from the most stable computed form: 0.0 meV per atom



Compound: MnRhW2
Source: Alexandria via LeMat-Bulk
Functional: GGA-PBE
Structure: optimized geometry

a b c (Å): 3.159 3.159 5.975
angles (deg): 90.00 90.00 90.00
Each line ends with the local moment (μB).
Positions (direct):
Mn  0.000  0.000  0.492  2.78
W  0.000  0.000  0.001  0.08
W  0.500  0.500  0.263  -0.36
Rh  0.500  0.500  0.744  0.26

Summary:
- Offset from the most stable computed form: 27.3 meV per atom



Compound: MnRhW2
Source: Alexandria via LeMat-Bulk
Functional: GGA-PBE
Structure: optimized geometry

a b c (Å): 2.727 2.727 8.247
angles (deg): 90.00 90.00 103.13
Each line ends with the local moment (μB).
Positions (direct):
Mn  0.000  0.000  0.507  2.83
W  0.000  0.000  0.990  -0.01
W  0.500  0.500  0.261  -0.15
Rh  0.500  0.500  0.742  0.16

Summary:
- Offset from the most stable computed form: 44.7 meV per atom



Total magnetic moment values (in μB/f.u.) by entry order: 4.812; 8.758; 2.799; 2.870.